Compound: Li3Ni2TeO6
Source: Alexandria via LeMat-Bulk
Functional: PBE+U
Structure: relaxed

Cell: 5.2784 5.2784 5.2411 Å, 99.57 99.57 120.04°
Fractional coordinates of all 12 atoms:
Li1 0.0000 0.0000 0.0000
Li2 0.3252 0.6748 0.0000
Li3 0.6748 0.3252 0.0000
Ni1 0.1664 0.8336 0.5000
Ni2 0.8336 0.1664 0.5000
Te1 0.5000 0.5000 0.5000
O1 0.0938 0.4224 0.2646
O2 0.2484 0.2484 0.7327
O3 0.4224 0.0938 0.2646
O4 0.5776 0.9062 0.7354
O5 0.7516 0.7516 0.2673
O6 0.9062 0.5776 0.7354

Calculated values
- DFT total energy (eV/atom) = -5.075
- mass density (g/cm3) = 5.039